Here is an optimized crystal structure of TlZnAgTe2 from the Alexandria database. Energies are from GGA-PBE.

## Properties
Total DFT energy (no corrections) ... -27.3 eV for the cell shown

Cell lengths 7.7873, 5.5117, 7.7940 Å; angles 90.00, 101.74, 90.00 degrees
Space group P2/c (No. 13)
Inequivalent atoms, fractional coordinates:
Tl 0.0000 0.1720 0.2500 [2 per cell]
Zn 0.5000 0.0000 0.0000 [2 per cell]
Ag 0.5000 0.4467 0.2500 [2 per cell]
Te 0.2562 0.2969 0.9371 [4 per cell]